Entry 1:
ZnGeAs2 | GGA-PBEsol | optimized geometry

Computed properties:
Space-group type: P-4m2, No. 115
ΔE to the lowest computed polymorph in meV per atom: 24
Volume in Å³/atom: 22.38
Uncorrected energy in eV per atom: -4.2881
Energy of formation in eV/f.u.: -0.419

Lattice parameters (Å, degrees): 3.9773 3.9773 5.6582 90.00 90.00 90.00
Positions (direct):
Zn 0.0000 0.0000 0.0000
Ge 0.5000 0.5000 0.5000
As 0.0000 0.5000 0.7586
As 0.5000 0.0000 0.2414

=====

Entry 2:
ZnGeAs2 | GGA-PBEsol | optimized geometry

Computed properties:
Space-group type: I-42d, No. 122
ΔE to the lowest computed polymorph in meV per atom: 0
Volume in Å³/atom: 22.37
Uncorrected energy in eV per atom: -4.3126
Energy of formation in eV/f.u.: -0.517

Lattice parameters (Å, degrees): 5.6577 5.6577 11.1823 90.00 90.00 90.00
Positions (direct):
Zn 0.0000 0.0000 0.0000
Zn 0.0000 0.5000 0.2500
Zn 0.5000 0.0000 0.7500
Zn 0.5000 0.5000 0.5000
Ge 0.0000 0.0000 0.5000
Ge 0.0000 0.5000 0.7500
Ge 0.5000 0.0000 0.2500
Ge 0.5000 0.5000 0.0000
As 0.2488 0.2500 0.1250
As 0.2500 0.7488 0.3750
As 0.2500 0.7512 0.8750
As 0.2512 0.2500 0.6250
As 0.7488 0.7500 0.6250
As 0.7500 0.2488 0.8750
As 0.7500 0.2512 0.3750
As 0.7512 0.7500 0.1250